No. 1
Here is crystalline Ce4In16Co3 at its relaxed geometry from Alexandria via LeMat-Bulk. Energies are from PBE.

abc: 6.6375 6.6375 12.2731
angles: 90.00 90.00 90.00
Space group P4/mmm (No. 123)
Symmetry-distinct sites (fractional):
Ce1 0.0000 0.5000 0.1956 (multiplicity 4)
In1 0.0000 0.0000 0.1960 (multiplicity 2)
In2 0.2282 0.2282 0.0000 (multiplicity 4)
In3 0.2493 0.2493 0.3829 (multiplicity 8)
In4 0.5000 0.5000 0.2108 (multiplicity 2)
Co1 0.0000 0.5000 0.5000 (multiplicity 2)
Co2 0.5000 0.5000 0.0000 (multiplicity 1)

Computed properties:
* electronic total energy: -4.132 eV per atom
* calculated density: 7.9 g/cm³



No. 2
Here is crystalline La4ThHg at its relaxed geometry from Alexandria via LeMat-Bulk. Energies are from PBE.

abc: 3.7039 3.7039 14.7305
angles: 90.00 90.00 90.00
Space group P4/mmm (No. 123)
Symmetry-distinct sites (fractional):
La1 0.0000 0.0000 0.1429 (multiplicity 2)
La2 0.5000 0.5000 0.3343 (multiplicity 2)
Th1 0.0000 0.0000 0.5000 (multiplicity 1)
Hg1 0.5000 0.5000 0.0000 (multiplicity 1)

Computed properties:
* electronic total energy: -4.714 eV per atom
* calculated density: 8.1 g/cm³



No. 3
Here is crystalline LaOs4 at its relaxed geometry from Alexandria via LeMat-Bulk. Energies are from PBE.

abc: 6.5805 6.5805 3.9976
angles: 90.00 90.00 90.00
Space group I4/m (No. 87)
Symmetry-distinct sites (fractional):
La1 0.0000 0.0000 0.0000 (multiplicity 2)
Os1 0.0979 0.6719 0.5000 (multiplicity 8)

Computed properties:
* excess energy over the best structure of this formula in the dataset: 444.6 meV/atom
* calculated density: 17.3 g/cm³



No. 4
Here is crystalline Cd8Pd2Pt at its relaxed geometry from Alexandria via LeMat-Bulk. Energies are from PBE.

abc: 18.2226 4.5176 5.7794
angles: 90.00 105.48 90.00
Space group C2/m (No. 12)
Symmetry-distinct sites (fractional):
Cd1 0.0338 0.0000 0.2713 (multiplicity 4)
Cd2 0.0970 0.5000 0.9640 (multiplicity 4)
Cd3 0.1527 0.5000 0.5056 (multiplicity 4)
Cd4 0.2241 0.0000 0.8178 (multiplicity 4)
Pd1 0.1882 0.0000 0.2658 (multiplicity 4)
Pt1 0.0000 0.5000 0.5000 (multiplicity 2)

Computed properties:
* excess energy over the best structure of this formula in the dataset: 34.2 meV/atom
* calculated density: 9.5 g/cm³



No. 5
Here is crystalline NaRhPbCl6 at its relaxed geometry from Alexandria via LeMat-Bulk. Energies are from PBE.

abc: 6.9390 6.9390 11.7068
angles: 90.00 90.00 120.00
Space group P-31c (No. 163)
Symmetry-distinct sites (fractional):
Na1 0.0000 0.0000 0.0000 (multiplicity 2)
Rh1 0.3333 0.6667 0.2500 (multiplicity 2)
Pb1 0.3333 0.6667 0.7500 (multiplicity 2)
Cl1 0.0580 0.3879 0.1304 (multiplicity 12)

Computed properties:
* formation energy from raw total energies: -1.022 eV/atom
* calculated density: 3.7 g/cm³



No. 6
Here is crystalline Sr2TbIr3O12 at its relaxed geometry from Alexandria via LeMat-Bulk. Energies are from PBE.

abc: 7.2927 7.2927 15.6021
angles: 90.00 90.00 120.00
Space group R-3m (No. 166, hexagonal axes)
Symmetry-distinct sites (fractional):
Sr1 0.0000 0.0000 0.1125 (multiplicity 6)
Tb1 0.0000 0.0000 0.5000 (multiplicity 3)
Ir1 0.0000 0.5000 0.0000 (multiplicity 9)
O1 0.0313 0.5156 0.8789 (multiplicity 18)
O2 0.0532 0.5266 0.3177 (multiplicity 18)

Computed properties:
* formation energy from raw total energies: -1.520 eV/atom
* calculated density: 7.6 g/cm³



No. 7
Here is crystalline PmNdSi at its relaxed geometry from Alexandria via LeMat-Bulk. Energies are from PBE.

abc: 4.2083 6.4068 12.6503
angles: 90.00 90.00 90.00
Space group Immm (No. 71)
Symmetry-distinct sites (fractional):
Pm1 0.0000 0.2284 0.0000 (multiplicity 4)
Nd1 0.0000 0.0000 0.3013 (multiplicity 4)
Si1 0.0000 0.5000 0.3618 (multiplicity 4)

Computed properties:
* excess energy over the best structure of this formula in the dataset: 46.4 meV/atom
* formation energy from raw total energies: -0.436 eV/atom
* calculated density: 6.2 g/cm³



No. 8
Here is crystalline ScMn2 at its relaxed geometry from Alexandria via LeMat-Bulk. Energies are from PBE.

abc: 6.1907 6.1907 4.4893
angles: 90.00 90.00 120.00
Space group P-62m (No. 189)
Symmetry-distinct sites (fractional):
Sc1 0.0000 0.0000 0.0000 (multiplicity 1)
Sc2 0.3333 0.6667 0.5000 (multiplicity 2)
Mn1 0.0000 0.2180 0.5000 (multiplicity 3)
Mn2 0.0000 0.5062 0.0000 (multiplicity 3)

Computed properties:
* electronic total energy: -7.779 eV per atom
* calculated density: 5.2 g/cm³



No. 9
Here is crystalline Li3Sm2BeNi12 at its relaxed geometry from Alexandria via LeMat-Bulk. Energies are from PBE.

abc: 5.9515 5.9515 24.6183
angles: 90.00 90.00 120.00
Space group R-3m (No. 166, hexagonal axes)
Symmetry-distinct sites (fractional):
Li1 0.0000 0.5000 0.0000 (multiplicity 9)
Sm1 0.0000 0.0000 0.1544 (multiplicity 6)
Be1 0.0000 0.0000 0.5000 (multiplicity 3)
Ni1 0.0596 0.5298 0.1002 (multiplicity 18)
Ni2 0.0706 0.5353 0.6140 (multiplicity 18)

Computed properties:
* electronic total energy: -4.778 eV per atom
* calculated density: 6.8 g/cm³



No. 10
Here is crystalline Zn2MoIr2 at its relaxed geometry from Alexandria via LeMat-Bulk. Energies are from PBE.

abc: 7.1967 7.1967 2.8324
angles: 90.00 90.00 90.00
Space group P4/mbm (No. 127)
Symmetry-distinct sites (fractional):
Zn1 0.1184 0.3816 0.0000 (multiplicity 4)
Mo1 0.0000 0.0000 0.0000 (multiplicity 2)
Ir1 0.1816 0.6816 0.5000 (multiplicity 4)

Computed properties:
* excess energy over the best structure of this formula in the dataset: 293.6 meV/atom
* calculated density: 13.8 g/cm³



No. 11
Here is crystalline La2Ho2ErHg5 at its relaxed geometry from Alexandria via LeMat-Bulk. Energies are from PBE.

abc: 12.0185 12.0185 3.9249
angles: 90.00 90.00 90.00
Space group P4/mbm (No. 127)
Symmetry-distinct sites (fractional):
La1 0.1705 0.3295 0.0000 (multiplicity 4)
Ho1 0.1324 0.6324 0.0000 (multiplicity 4)
Er1 0.0000 0.0000 0.0000 (multiplicity 2)
Hg1 0.0000 0.5000 0.5000 (multiplicity 2)
Hg2 0.0899 0.8244 0.5000 (multiplicity 8)

Computed properties:
* electronic total energy: -2.863 eV per atom
* calculated density: 10.4 g/cm³



No. 12
Here is crystalline AgRhF3 at its relaxed geometry from Alexandria via LeMat-Bulk. Energies are from PBE.

abc: 4.2041 4.2041 4.2041
angles: 90.00 90.00 90.00
Space group Pm-3m (No. 221)
Symmetry-distinct sites (fractional):
Ag1 0.0000 0.0000 0.0000 (multiplicity 1)
Rh1 0.5000 0.5000 0.5000 (multiplicity 1)
F1 0.0000 0.5000 0.5000 (multiplicity 3)

Computed properties:
* excess energy over the best structure of this formula in the dataset: 0.0 meV/atom
* formation energy from raw total energies: -0.947 eV/atom
* calculated density: 6.0 g/cm³